# 1
Here is a geometry-optimized GaSnSb2 structure from Alexandria. Energies are from PBE-GGA.

Properties
* theoretical density: 5.20 Mg/m³

abc: 4.4541 4.4541 8.0348
angles: 90.00 90.00 120.00
Closest atoms and distances in Å follow each position.
Space group P3m1 (No. 156)
Unique sites:
Ga 0.0000 0.0000 0.0000 (multiplicity 1)  4 Sb 2.71-2.74
Sn 0.6667 0.3333 0.5103 (multiplicity 1)  4 Sb 2.91-3.09
Sb 0.0000 0.0000 0.3415 (multiplicity 1)  1 Ga 2.74, 3 Sn 2.91
Sb 0.6667 0.3333 0.8948 (multiplicity 1)  3 Ga 2.71


# 2
Here is a geometry-optimized GaSnSb2 structure from Alexandria. Energies are from PBE-GGA.

Properties
* theoretical density: 5.11 Mg/m³

abc: 6.6158 6.6158 12.8166
angles: 90.00 90.00 90.00
Closest atoms and distances in Å follow each position.
Space group I-42d (No. 122)
Unique sites:
Ga 0.0000 0.0000 0.0000 (multiplicity 4)  4 Sb 2.71
Sn 0.0000 0.0000 0.5000 (multiplicity 4)  4 Sb 2.97
Sb 0.2171 0.2500 0.1250 (multiplicity 8)  2 Ga 2.71, 2 Sn 2.97


# 3
Here is a geometry-optimized Ga2Sn2Sb structure from Alexandria. Energies are from PBE-GGA.

Properties
* theoretical density: 6.63 Mg/m³

abc: 3.8551 3.8551 16.8047
angles: 90.00 90.00 90.00
Closest atoms and distances in Å follow each position.
Space group I4/mmm (No. 139)
Unique sites:
Ga 0.0000 0.5000 0.2500 (multiplicity 4)  4 Ga 2.73
Sn 0.0000 0.0000 0.1053 (multiplicity 4)  4 Ga 3.10, 4 Sb 3.25
Sb 0.0000 0.0000 0.5000 (multiplicity 2)  8 Sn 3.25


# 4
Here is a geometry-optimized Ga12Sn3Sb5 structure from Alexandria. Energies are from PBE-GGA.

Properties
* theoretical density: 5.39 Mg/m³

abc: 16.4325 16.4325 16.4325
angles: 90.00 90.00 90.00
Closest atoms and distances in Å follow each position.
Space group Ia-3d (No. 230)
Unique sites:
Ga 0.0122 0.0772 0.6558 (multiplicity 96)  2 Sb 2.73-2.86, 2 Sn 2.89-3.01, 1 Ga 2.93
Sn 0.0000 0.2500 0.1250 (multiplicity 24)  8 Ga 2.89-3.01
Sb 0.0000 0.0000 0.0000 (multiplicity 16)  6 Ga 2.86
Sb 0.0000 0.2500 0.3750 (multiplicity 24)  4 Ga 2.73


| no. | formation energy (no corrections) (eV/atom) |
| --- | --- |
| 1 | 0.037 |
| 2 | 0.035 |
| 3 | 0.089 |
| 4 | 0.102 |